Compound: Li2MnPdAu
Source: Alexandria
Functional: PBE
Structure: optimized geometry

Output
The value obtained for the total energy is -3.67 eV/atom. For the density of states at the Fermi level, the calculation gives 1.0068 states/eV per atom. The volume comes out at 91.7 Å³/cell. The value obtained for the formation energy is 619 meV per atom.

abc: 4.465 4.600 4.465
angles: 90.00 90.00 90.00
Last column: magnetic moment on the atom in μB.
Element x y z (fractional)
Li (0.500, 0.000, 0.000)  0.00
Li (0.000, 0.000, 0.500)  0.00
Pd (0.000, 0.000, 0.000)  0.07
Au (0.500, 0.500, 0.500)  0.00
Mn (0.000, 0.500, 0.000)  0.52